# Sr2BiAsAu2, optimized geometry, DFT PBE-GGA
# Energy   -3.901 eV per atom
data_Sr2BiAsAu2
_chemical_formula_sum 'Sr2 Bi1 As1 Au2'
_cell_length_a 4.7327
_cell_length_b 4.7327
_cell_length_c 8.6263
_cell_angle_alpha 90.00
_cell_angle_beta 90.00
_cell_angle_gamma 120.00
_symmetry_space_group_name_H-M 'P 3 m 1'
_symmetry_Int_Tables_number 156
loop_
_symmetry_equiv_pos_as_xyz
'x,y,z'
'-y,x-y,z'
'-x+y,-x,z'
'-y,-x,z'
'-x+y,y,z'
'x,x-y,z'
loop_
_atom_site_label
_atom_site_type_symbol
_atom_site_fract_x
_atom_site_fract_y
_atom_site_fract_z
Sr1 Sr 0.0000 0.0000 0.0000
Sr2 Sr 0.0000 0.0000 0.4705
Bi1 Bi 0.6667 0.3333 0.7334
As1 As 0.3333 0.6667 0.2341
Au1 Au 0.3333 0.6667 0.7378
Au2 Au 0.6667 0.3333 0.2365

***

# TcBiAsAu, optimized geometry, DFT PBE-GGA
# Energy   -4.941 eV per atom
data_TcBiAsAu
_chemical_formula_sum 'Tc4 Bi4 As4 Au4'
_cell_length_a 6.851
_cell_length_b 6.851
_cell_length_c 6.851
_cell_angle_alpha 90.00
_cell_angle_beta 90.00
_cell_angle_gamma 90.00
_symmetry_space_group_name_H-M 'F -4 3 m'
_symmetry_Int_Tables_number 216
_symmetry_space_group_name_Hall 'F -4 2 3'
loop_
_atom_site_label
_atom_site_type_symbol
_atom_site_fract_x
_atom_site_fract_y
_atom_site_fract_z
Tc1 Tc 0.000 0.000 0.000
Bi1 Bi 0.000 0.000 0.500
As1 As 0.250 0.250 0.250
Au1 Au 0.250 0.250 0.750

***

# TcBiAsAu, optimized geometry, DFT PBE-GGA
# Energy   -5.028 eV per atom
data_TcBiAsAu
_chemical_formula_sum 'Tc4 Bi4 As4 Au4'
_cell_length_a 6.840
_cell_length_b 6.840
_cell_length_c 6.840
_cell_angle_alpha 90.00
_cell_angle_beta 90.00
_cell_angle_gamma 90.00
_symmetry_space_group_name_H-M 'F -4 3 m'
_symmetry_Int_Tables_number 216
_symmetry_space_group_name_Hall 'F -4 2 3'
loop_
_atom_site_label
_atom_site_type_symbol
_atom_site_fract_x
_atom_site_fract_y
_atom_site_fract_z
Tc1 Tc 0.000 0.000 0.000
Bi1 Bi 0.250 0.250 0.250
As1 As 0.250 0.250 0.750
Au1 Au 0.000 0.000 0.500

***

# AsAu6Br, optimized geometry, DFT PBE-GGA
# Energy   -2.687 eV per atom
data_AsAu6Br
_chemical_formula_sum 'As4 Au24 Br4'
_cell_length_a 9.212
_cell_length_b 9.212
_cell_length_c 9.212
_cell_angle_alpha 90.00
_cell_angle_beta 90.00
_cell_angle_gamma 90.00
_symmetry_space_group_name_H-M 'F -4 3 m'
_symmetry_Int_Tables_number 216
_symmetry_space_group_name_Hall 'F -4 2 3'
loop_
_atom_site_label
_atom_site_type_symbol
_atom_site_fract_x
_atom_site_fract_y
_atom_site_fract_z
As1 As 0.000 0.000 0.000
Au1 Au 0.036 0.250 0.750
Br1 Br 0.250 0.250 0.250

***

# Tl2AsAuBr6, optimized geometry, DFT PBE-GGA
# Energy   -2.732 eV per atom
data_Tl2AsAuBr6
_chemical_formula_sum 'Tl8 As4 Au4 Br24'
_cell_length_a 10.776
_cell_length_b 10.776
_cell_length_c 10.776
_cell_angle_alpha 90.00
_cell_angle_beta 90.00
_cell_angle_gamma 90.00
_symmetry_space_group_name_H-M 'F m -3 m'
_symmetry_Int_Tables_number 225
_symmetry_space_group_name_Hall '-F 4 2 3'
loop_
_atom_site_label
_atom_site_type_symbol
_atom_site_fract_x
_atom_site_fract_y
_atom_site_fract_z
Tl1 Tl 0.250 0.250 0.250
As1 As 0.000 0.000 0.000
Au1 Au 0.000 0.000 0.500
Br1 Br 0.000 0.000 0.246

***

# AsH11AuC13Cl, optimized geometry, DFT PBE-GGA
# Energy   -6.167 eV per atom
data_AsH11AuC13Cl
_chemical_formula_sum 'As8 H88 Au8 C104 Cl8'
_cell_length_a 13.247
_cell_length_b 13.101
_cell_length_c 15.496
_cell_angle_alpha 90.00
_cell_angle_beta 99.92
_cell_angle_gamma 90.00
_symmetry_space_group_name_H-M 'C 1 c 1'
_symmetry_Int_Tables_number 9
loop_
_symmetry_equiv_pos_as_xyz
'x,y,z'
'x,-y,z+1/2'
'x+1/2,y+1/2,z'
'x+1/2,-y+1/2,z+1/2'
loop_
_atom_site_label
_atom_site_type_symbol
_atom_site_fract_x
_atom_site_fract_y
_atom_site_fract_z
As1 As 0.000 0.139 0.000
As2 As 0.400 0.329 0.268
H1 H 0.000 0.090 0.496
H2 H 0.002 0.342 0.680
H3 H 0.052 0.465 0.259
H4 H 0.095 0.354 0.006
H5 H 0.097 0.198 0.777
H6 H 0.108 0.122 0.348
H7 H 0.116 0.490 0.118
H8 H 0.127 0.223 0.556
H9 H 0.159 0.190 0.934
H10 H 0.188 0.276 0.294
H11 H 0.205 0.144 0.120
H12 H 0.217 0.026 0.905
H13 H 0.277 0.348 0.942
H14 H 0.290 0.173 0.651
H15 H 0.293 0.407 0.097
H16 H 0.330 0.011 0.181
H17 H 0.373 0.196 0.907
H18 H 0.405 0.022 0.905
H19 H 0.439 0.333 0.674
H20 H 0.462 0.196 0.785
H21 H 0.484 0.128 0.349
H22 H 0.488 0.102 0.026
Au1 Au 0.321 0.492 0.274
Au2 Au 0.326 0.411 0.461
C1 C 0.018 0.251 0.084
C2 C 0.040 0.406 0.209
C3 C 0.043 0.183 0.823
C4 C 0.066 0.342 0.067
C5 C 0.072 0.068 0.536
C6 C 0.077 0.179 0.909
C7 C 0.077 0.419 0.130
C8 C 0.095 0.035 0.055
C9 C 0.143 0.143 0.571
C10 C 0.188 0.064 0.106
C11 C 0.190 0.124 0.349
C12 C 0.235 0.114 0.623
C13 C 0.235 0.210 0.318
C14 C 0.251 0.040 0.380
C15 C 0.258 0.012 0.641
C16 C 0.325 0.306 0.995
C17 C 0.335 0.339 0.082
C18 C 0.340 0.211 0.318
C19 C 0.357 0.042 0.380
C20 C 0.380 0.221 0.975
C21 C 0.398 0.286 0.148
C22 C 0.402 0.128 0.349
C23 C 0.443 0.167 0.042
C24 C 0.452 0.199 0.128
C25 C 0.480 0.263 0.662
C26 C 0.491 0.185 0.724
Cl1 Cl 0.153 0.451 0.444
Cl2 Cl 0.246 0.348 0.761

***

# Hf4AsAuC2, optimized geometry, DFT PBE-GGA
# Energy   -9.116 eV per atom
data_Hf4AsAuC2
_chemical_formula_sum 'Hf4 As1 Au1 C2'
_cell_length_a 3.3566
_cell_length_b 3.3566
_cell_length_c 13.3119
_cell_angle_alpha 90.00
_cell_angle_beta 90.00
_cell_angle_gamma 120.00
_symmetry_space_group_name_H-M 'P -6 m 2'
_symmetry_Int_Tables_number 187
_symmetry_space_group_name_Hall 'P -6 2'
loop_
_atom_site_label
_atom_site_type_symbol
_atom_site_fract_x
_atom_site_fract_y
_atom_site_fract_z
Hf1 Hf 0.0000 0.0000 0.1460
Hf2 Hf 0.6667 0.3333 0.3341
As1 As 0.6667 0.3333 0.0000
Au1 Au 0.0000 0.0000 0.5000
C1 C 0.3333 0.6667 0.2391

***

# Lu4AsAuC2, optimized geometry, DFT PBE-GGA
# Energy   -6.254 eV per atom
data_Lu4AsAuC2
_chemical_formula_sum 'Lu4 As1 Au1 C2'
_cell_length_a 3.6165
_cell_length_b 3.6165
_cell_length_c 13.4399
_cell_angle_alpha 90.00
_cell_angle_beta 90.00
_cell_angle_gamma 120.00
_symmetry_space_group_name_H-M 'P -6 m 2'
_symmetry_Int_Tables_number 187
_symmetry_space_group_name_Hall 'P -6 2'
loop_
_atom_site_label
_atom_site_type_symbol
_atom_site_fract_x
_atom_site_fract_y
_atom_site_fract_z
Lu1 Lu 0.0000 0.0000 0.1472
Lu2 Lu 0.6667 0.3333 0.3394
As1 As 0.6667 0.3333 0.0000
Au1 Au 0.0000 0.0000 0.5000
C1 C 0.3333 0.6667 0.2499

***

What is the formula in the fifth record?
Tl2AsAuBr6

***

energy of number 1 (Sr2BiAsAu2)?
-3.901 eV per atom

***

What is the energy in the first record?
-3.901 eV per atom

***

Number 7 is which compound?
Hf4AsAuC2